No. 1
VASP calculation (PBE) on a relaxed Hg6SbBr3 crystal.

Values from the calculation:
Mass density = 6.97 g cm⁻³
Final energy = -1.259 eV/atom
M_tot = 0.0 μB per cell
Uncorrected formation energy = -0.1638 eV/atom

Unit cell a=8.713 b=7.467 c=13.677 alpha=90.00 beta=123.12 gamma=90.00
Space group P2_1/c (No. 14)
Inequivalent atoms, fractional coordinates:
Hg  0.144  0.137  0.083 [4 per cell]
Hg  0.249  0.620  0.933 [4 per cell]
Hg  0.256  0.514  0.254 [4 per cell]
Sb  0.000  0.000  0.500 [2 per cell]
Br  0.400  0.561  0.789 [4 per cell]
Br  0.500  0.000  0.000 [2 per cell]



No. 2
VASP calculation (PBE) on a relaxed SbAsRhI2 crystal.

Values from the calculation:
Mass density = 5.49 g cm⁻³
DOS at the Fermi energy = 11.2 states/eV per cell
Final energy = -2.777 eV/atom
M_tot = 1.4 μB per cell
ΔE to the lowest computed polymorph = 521 meV per atom
Uncorrected formation energy = 1.0677 eV/atom

Unit cell a=5.522 b=5.522 c=5.488 alpha=90.00 beta=90.00 gamma=90.00
Space group P4/mmm (No. 123)
Inequivalent atoms, fractional coordinates:
Sb  0.000  0.000  0.000 [1 per cell]
As  0.000  0.000  0.500 [1 per cell]
Rh  0.500  0.500  0.000 [1 per cell]
I  0.000  0.500  0.500 [2 per cell]